Dy2YEr2Tm2Cu2Te2 | PBE | relaxed

Values from the calculation:
DFT total energy, eV per atom: -4.90
Calculated density, kg/m3: 8371
Symmetry: Imm2, No. 44
Crystal system: orthorhombic
Magnetization, Bohr magnetons per cell: 0.22

a = 9.2930 Å, b = 9.2930 Å, c = 9.2930 Å
α = 155.47°, β = 67.58°, γ = 118.14°
Closest atoms and distances in Å follow each position.
Atoms (fractional coordinates):
Tm: 0.7843 0.0988 0.6855  2 Cu 2.82
Tm: 0.4133 0.0988 0.3145  2 Cu 2.82
Te: 0.7413 0.2413 0.5000  4 Dy 3.17, 2 Tm 3.17, 2 Y 3.19
Te: 0.1436 0.1436 0.0000  2 Dy 3.10, 4 Er 3.13, 1 Y 3.21
Y: 0.4792 0.4792 0.0000  3 Te 3.19-3.21
Dy: 0.7656 0.8949 0.8708  2 Cu 2.87, 3 Te 3.10-3.17
Dy: 0.0241 0.8949 0.1292  2 Cu 2.87, 3 Te 3.10-3.17
Cu: 0.1691 0.4052 0.7639  2 Tm 2.82, 2 Dy 2.87, 2 Er 2.89
Cu: 0.6413 0.4052 0.2361  2 Tm 2.82, 2 Dy 2.87, 2 Er 2.89
Er: 0.0976 0.7421 0.3555  2 Cu 2.89, 2 Te 3.13
Er: 0.3867 0.7421 0.6445  2 Cu 2.89, 2 Te 3.13

Dy2Y3Er2Cu2Te2 | PBE | relaxed

Values from the calculation:
DFT total energy, eV per atom: -5.27
Calculated density, kg/m3: 7394
Symmetry: Imm2, No. 44
Crystal system: orthorhombic
Magnetization, Bohr magnetons per cell: 0.07

a = 9.3332 Å, b = 9.3332 Å, c = 9.3332 Å
α = 155.52°, β = 67.30°, γ = 118.41°
Closest atoms and distances in Å follow each position.
Atoms (fractional coordinates):
Dy: 0.5227 0.8940 0.6287  2 Cu 2.87, 3 Te 3.11-3.17
Dy: 0.2653 0.8940 0.3713  2 Cu 2.87, 3 Te 3.11-3.17
Cu: 0.1445 0.4069 0.7376  2 Er 2.82, 2 Dy 2.87, 2 Y 2.93
Cu: 0.6693 0.4069 0.2624  2 Er 2.82, 2 Dy 2.87, 2 Y 2.93
Y: 0.8837 0.7405 0.1432  2 Cu 2.93, 2 Te 3.12
Y: 0.5972 0.7405 0.8568  2 Cu 2.93, 2 Te 3.12
Y: 0.9808 0.4808 0.5000  3 Te 3.19-3.23
Er: 0.2843 0.0990 0.1853  2 Cu 2.82
Er: 0.9137 0.0990 0.8147  2 Cu 2.82
Te: 0.6426 0.1426 0.5000  2 Dy 3.11, 5 Y 3.12-3.23
Te: 0.2420 0.2420 0.0000  4 Dy 3.17, 2 Y 3.19, 2 Er 3.19

DyErTlCu2 | PBE | relaxed

Values from the calculation:
DFT total energy, eV per atom: -4.11
Calculated density, kg/m3: 10294
Symmetry: Amm2, No. 38
Crystal system: orthorhombic
Magnetization, Bohr magnetons per cell: 0.00

a = 3.5824 Å, b = 7.3150 Å, c = 7.3150 Å
α = 33.81°, β = 90.00°, γ = 90.00°
Closest atoms and distances in Å follow each position.
Atoms (fractional coordinates):
Cu: 0.5000 0.7965 0.7965  2 Cu 2.50
Cu: 0.5000 0.2020 0.2020  2 Cu 2.50
Tl: 0.5000 0.0007 0.0007  2 Cu 2.82-2.86
Er: 0.0000 0.6352 0.6352  6 Cu 2.88-2.93
Dy: 0.0000 0.3655 0.3655  6 Cu 2.91-2.94

GdDy2In3Fe2Cu | PBE | relaxed

Values from the calculation:
DFT total energy, eV per atom: -4.93
Calculated density, kg/m3: 8802
Symmetry: Amm2, No. 38
Crystal system: orthorhombic
Magnetization, Bohr magnetons per cell: 3.62

a = 3.9280 Å, b = 7.4554 Å, c = 7.4554 Å
α = 120.03°, β = 90.00°, γ = 90.00°
Closest atoms and distances in Å follow each position.
Atoms (fractional coordinates):
In: 0.5000 0.2571 0.9990  2 Cu 2.75, 2 Fe 2.80-2.81
In: 0.5000 0.7437 0.7437  2 Cu 2.74, 2 Fe 2.82
In: 0.5000 0.9990 0.2571  2 Cu 2.75, 2 Fe 2.80-2.81
Fe: 0.5000 0.6672 0.3326  3 In 2.80-2.82, 4 Dy 2.98-2.99, 2 Gd 2.99
Fe: 0.5000 0.3326 0.6672  3 In 2.80-2.82, 4 Dy 2.98-2.99, 2 Gd 2.99
Cu: 0.0000 0.9994 0.9994  6 In 2.74-2.75, 2 Dy 3.06
Dy: 0.0000 0.5898 0.0000  4 Fe 2.98-2.99, 1 Cu 3.06, 6 In 3.16-3.32
Dy: 0.0000 0.0000 0.5898  4 Fe 2.98-2.99, 1 Cu 3.06, 6 In 3.16-3.32
Gd: 0.0000 0.4111 0.4111  4 Fe 2.99, 1 Cu 3.07, 6 In 3.16-3.33

DyFeCuGe2 | PBE | relaxed

Values from the calculation:
DFT total energy, eV per atom: -5.62
Calculated density, kg/m3: 8448
Symmetry: I-4m2, No. 119
Crystal system: tetragonal
Magnetization, Bohr magnetons per cell: 2.06

a = 5.8642 Å, b = 5.8642 Å, c = 5.8642 Å
α = 139.59°, β = 139.59°, γ = 58.47°
Closest atoms and distances in Å follow each position.
Atoms (fractional coordinates):
Ge: 0.3730 0.8730 0.5000  2 Fe 2.41, 2 Cu 2.41, 1 Ge 2.52
Ge: 0.1270 0.6270 0.5000  2 Cu 2.41, 2 Fe 2.41, 1 Ge 2.52
Cu: 0.0000 0.0000 0.0000  4 Ge 2.41
Fe: 0.5000 0.5000 0.0000  4 Ge 2.41
Dy: 0.7500 0.2500 0.5000  8 Ge 3.13, 4 Fe 3.26, 4 Cu 3.26

Tb2DyIn3Fe2Cu | PBE | relaxed

Values from the calculation:
DFT total energy, eV per atom: -4.93
Calculated density, kg/m3: 8787
Symmetry: Amm2, No. 38
Crystal system: orthorhombic
Magnetization, Bohr magnetons per cell: 3.61

a = 3.9308 Å, b = 7.4502 Å, c = 7.4502 Å
α = 119.98°, β = 90.00°, γ = 90.00°
Closest atoms and distances in Å follow each position.
Atoms (fractional coordinates):
Fe: 0.5000 0.3336 0.6663  3 In 2.80-2.82, 2 Dy 2.99, 4 Tb 2.99
Fe: 0.5000 0.6663 0.3336  3 In 2.80-2.82, 2 Dy 2.99, 4 Tb 2.99
In: 0.5000 0.9995 0.7427  2 Cu 2.74, 2 Fe 2.81-2.82
In: 0.5000 0.7427 0.9995  2 Cu 2.74, 2 Fe 2.81-2.82
In: 0.5000 0.2577 0.2577  2 Cu 2.75, 2 Fe 2.80
Tb: 0.0000 0.0000 0.4106  4 Fe 2.99, 1 Cu 3.06, 6 In 3.16-3.32
Tb: 0.0000 0.4106 0.0000  4 Fe 2.99, 1 Cu 3.06, 6 In 3.16-3.32
Dy: 0.0000 0.5899 0.5899  4 Fe 2.99, 1 Cu 3.05, 6 In 3.16-3.32
Cu: 0.0000 0.9997 0.9997  6 In 2.74-2.75, 1 Dy 3.05, 2 Tb 3.06